Entry 1:
DFT (PBE-GGA) results for an optimized crystal structure of Sm12ThIn3.

a = 4.9609 Å, b = 4.9609 Å, c = 20.0358 Å
α = 90.00°, β = 90.00°, γ = 90.00°
Last column: nearest neighbours and their distance in Å.
Element x y z (fractional)
Sm (0.5000, 0.5000, 0.0000)  4 Th 3.51, 8 Sm 3.57
Sm (0.5000, 0.5000, 0.2542)  8 Sm 3.49-3.54, 4 In 3.51
Sm (0.5000, 0.5000, 0.5000)  8 Sm 3.50, 4 In 3.51
Sm (0.5000, 0.5000, 0.7458)  8 Sm 3.49-3.54, 4 In 3.51
Sm (0.5000, 0.0000, 0.1282)  8 Sm 3.51-3.57, 2 In 3.55, 2 Th 3.57
Sm (0.5000, 0.0000, 0.3765)  4 In 3.48-3.50, 8 Sm 3.49-3.51
Sm (0.5000, 0.0000, 0.6235)  4 In 3.48-3.50, 8 Sm 3.49-3.51
Sm (0.5000, 0.0000, 0.8718)  8 Sm 3.51-3.57, 2 In 3.55, 2 Th 3.57
Sm (0.0000, 0.5000, 0.1282)  8 Sm 3.51-3.57, 2 In 3.55, 2 Th 3.57
Sm (0.0000, 0.5000, 0.3765)  4 In 3.48-3.50, 8 Sm 3.49-3.51
Sm (0.0000, 0.5000, 0.6235)  4 In 3.48-3.50, 8 Sm 3.49-3.51
Sm (0.0000, 0.5000, 0.8718)  8 Sm 3.51-3.57, 2 In 3.55, 2 Th 3.57
Th (0.0000, 0.0000, 0.0000)  12 Sm 3.51-3.57
In (0.0000, 0.0000, 0.2548)  12 Sm 3.48-3.55
In (0.0000, 0.0000, 0.5000)  12 Sm 3.50-3.51
In (0.0000, 0.0000, 0.7452)  12 Sm 3.48-3.55

## Properties
ρ (g/cm³): 8.018
DOS at the Fermi energy (states/eV per cell): 24.29
Energy of formation from the pure elements (eV per atom): -0.184



Entry 2:
DFT (PBE-GGA) results for an optimized crystal structure of LuZrRh.

a = 3.3797 Å, b = 3.3797 Å, c = 5.9985 Å
α = 106.36°, β = 106.36°, γ = 90.00°
Last column: nearest neighbours and their distance in Å.
Element x y z (fractional)
Lu (0.3168, 0.3168, 0.6337)  4 Rh 2.95, 5 Zr 3.23-3.30
Rh (0.6598, 0.6598, 0.3195)  4 Zr 2.82, 4 Lu 2.95
Zr (0.0234, 0.0234, 0.0468)  4 Rh 2.82

## Properties
Energy above the lowest structure with this stoichiometry (meV/atom): 0
ρ (g/cm³): 9.753
DOS at the Fermi energy (states/eV per cell): 3.99
Energy of formation from the pure elements (eV per atom): -0.518